Tb5Y3Tm | PBE | optimized geometry

Calculated values
DFT formation energy = 533 meV per atom
E above lowest polymorph = 323 meV per atom
size of the total moment = 0.000 μB/f.u.

Cell: 9.492 9.492 11.598 Å, 52.93 52.93 74.13°
Fractional positions:
Tb 0.489 0.489 0.235
Tb 0.511 0.511 0.765
Tb 0.816 0.816 0.962
Tb 0.744 0.256 0.000
Tb 0.343 0.847 0.249
Tb 0.847 0.343 0.249
Tb 0.184 0.184 0.038
Tb 0.657 0.153 0.751
Tb 0.153 0.657 0.751
Tb 0.256 0.744 0.000
Tm 0.148 0.148 0.600
Tm 0.852 0.852 0.400
Y 0.340 0.340 0.640
Y 0.000 0.000 0.000
Y 0.690 0.690 0.821
Y 0.660 0.660 0.360
Y 0.000 0.000 0.500
Y 0.310 0.310 0.179

Tb5Y2Tm3 | PBE | optimized geometry

Calculated values
DFT formation energy = 203 meV per atom
E above lowest polymorph = 0 meV per atom
size of the total moment = 0.000 μB/f.u.

Cell: 9.525 9.548 11.075 Å, 126.40 126.35 67.82°
Fractional positions:
Tb 0.017 0.767 0.535
Tb 0.983 0.233 0.465
Tb 0.478 0.728 0.456
Tb 0.522 0.272 0.544
Tb 0.873 0.620 0.771
Tb 0.127 0.380 0.229
Tb 0.720 0.470 0.940
Tb 0.398 0.151 0.771
Tb 0.602 0.849 0.229
Tb 0.280 0.530 0.060
Tm 0.011 0.776 0.239
Tm 0.727 0.463 0.239
Tm 0.273 0.537 0.761
Tm 0.777 0.027 0.054
Tm 0.989 0.224 0.761
Tm 0.223 0.973 0.946
Y 0.473 0.736 0.755
Y 0.527 0.264 0.245
Y 0.217 0.981 0.245
Y 0.783 0.019 0.755

Tb2Y4Tm5 | PBE | optimized geometry

Calculated values
DFT formation energy = 232 meV per atom
E above lowest polymorph = 133 meV per atom
size of the total moment = 0.001 μB/f.u.

Cell: 3.530 8.880 11.867 Å, 102.97 98.55 90.00°
Fractional positions:
Y 0.384 0.483 0.767
Y 0.616 0.517 0.233
Y 0.018 0.694 0.037
Y 0.982 0.306 0.963
Tm 0.239 0.332 0.478
Tm 0.500 0.000 0.000
Tm 0.819 0.109 0.637
Tm 0.181 0.891 0.363
Tm 0.761 0.668 0.522
Tb 0.108 0.181 0.216
Tb 0.892 0.819 0.784

Tb4Y9Tm11 | PBE | optimized geometry

Calculated values
DFT formation energy = 44 meV per atom
size of the total moment = 1.451 μB/f.u.

Cell: 3.651 14.983 14.983 Å, 112.94 90.00 90.00°
Each line ends with the local moment (μB).
Fractional positions:
Tm 0.000 0.291 0.291  0.01
Tm 0.000 0.955 0.593  0.09
Tm 0.000 0.709 0.709  0.01
Tm 0.000 0.407 0.045  0.09
Tm 0.000 0.160 0.840  0.03
Tm 0.000 0.633 0.367  0.00
Tm 0.000 0.840 0.160  0.03
Tm 0.000 0.000 0.000  0.02
Tm 0.000 0.593 0.955  0.09
Tm 0.000 0.367 0.633  0.00
Tm 0.000 0.045 0.407  0.09
Y 0.500 0.786 0.932  0.00
Y 0.500 0.369 0.837  0.10
Y 0.500 0.214 0.068  0.00
Y 0.500 0.932 0.786  0.00
Y 0.500 0.500 0.500  0.00
Y 0.500 0.068 0.214  0.00
Y 0.500 0.631 0.163  0.10
Y 0.500 0.837 0.369  0.10
Y 0.500 0.163 0.631  0.10
Tb 0.500 0.245 0.446  0.01
Tb 0.500 0.554 0.755  0.01
Tb 0.500 0.755 0.554  0.01
Tb 0.500 0.446 0.245  0.01

Tb4Y4Tm3 | PBE | optimized geometry

Calculated values
DFT formation energy = 59 meV per atom
E above lowest polymorph = 0 meV per atom
size of the total moment = 0.002 μB/f.u.

Cell: 3.516 5.578 18.002 Å, 81.06 84.39 90.00°
Fractional positions:
Tm 0.863 0.363 0.273
Tm 0.137 0.637 0.727
Tm 0.000 0.000 0.000
Y 0.733 0.733 0.535
Y 0.410 0.909 0.180
Y 0.590 0.091 0.820
Y 0.267 0.267 0.465
Tb 0.320 0.820 0.359
Tb 0.546 0.546 0.909
Tb 0.454 0.454 0.091
Tb 0.680 0.180 0.641

Tb5YTm4 | PBE | optimized geometry

Calculated values
DFT formation energy = 313 meV per atom
E above lowest polymorph = 276 meV per atom
size of the total moment = 0.000 μB/f.u.

Cell: 6.280 7.817 7.817 Å, 80.71 66.31 66.31°
Fractional positions:
Tb 0.716 0.089 0.380
Tb 0.805 0.380 0.911
Tb 0.185 0.911 0.620
Tb 0.682 0.000 0.000
Tb 0.095 0.620 0.089
Tm 0.103 0.298 0.397
Tm 0.501 0.603 0.298
Tm 0.799 0.702 0.603
Tm 0.401 0.397 0.702
Y 0.225 0.000 0.000

Tb4Y2Tm5 | PBE | optimized geometry

Calculated values
DFT formation energy = 58 meV per atom
E above lowest polymorph = 0 meV per atom
size of the total moment = 0.000 μB/f.u.

Cell: 3.637 9.814 12.599 Å, 123.60 81.71 111.77°
Fractional positions:
Tm 0.580 0.831 0.501
Tm 0.927 0.045 0.236
Tm 0.073 0.955 0.764
Tm 0.500 0.000 0.000
Tm 0.420 0.169 0.499
Y 0.888 0.274 0.770
Y 0.112 0.726 0.230
Tb 0.323 0.351 0.055
Tb 0.756 0.429 0.345
Tb 0.244 0.571 0.655
Tb 0.677 0.649 0.945

Tb4Y2Tm3 | PBE | optimized geometry

Calculated values
DFT formation energy = 96 meV per atom
size of the total moment = 0.000 μB/f.u.

Cell: 6.129 11.198 11.198 Å, 62.17 61.60 61.60°
Fractional positions:
Tb 0.083 0.141 0.431
Tb 0.583 0.431 0.141
Tb 0.580 0.096 0.811
Tb 0.917 0.859 0.569
Tb 0.420 0.904 0.189
Tb 0.417 0.569 0.859
Tb 0.920 0.189 0.904
Tb 0.080 0.811 0.096
Tm 0.749 0.070 0.263
Tm 0.751 0.737 0.930
Tm 0.249 0.263 0.070
Tm 0.251 0.930 0.737
Tm 0.250 0.599 0.401
Tm 0.750 0.401 0.599
Y 0.922 0.520 0.239
Y 0.578 0.761 0.480
Y 0.078 0.480 0.761
Y 0.422 0.239 0.520